This record from the Alexandria database describes a relaxed Cd3In crystal. The functional is PBE.

```
data_Cd3In
_chemical_formula_sum 'Cd6 In2'
_symmetry_space_group_name_H-M 'C m m m'
_symmetry_Int_Tables_number 65
_symmetry_space_group_name_Hall '-C 2 2'
_cell_length_a 3.0430
_cell_length_b 5.7802
_cell_length_c 11.0684
_cell_angle_alpha 90.00
_cell_angle_beta 90.00
_cell_angle_gamma 90.00
loop_
_atom_site_label
_atom_site_type_symbol
_atom_site_fract_x
_atom_site_fract_y
_atom_site_fract_z
Cd1 Cd 0.0000 0.0000 0.0000
Cd2 Cd 0.0000 0.5000 0.2423
In1 In 0.0000 0.0000 0.5000
```

- Total energy: -1.340 eV per atom
- Formation enthalpy at 0 K: 0.1 eV per formula unit